Er6Tl3C | GGA-PBE | relaxed

Values from the calculation:
D(E_F)   8.96 states/eV/f.u.
Calculated total energy   -4.633 eV/atom
Energy of formation from the pure elements   -25.41 kJ/mol of atoms
Magnetic moment   0.00 μB per formula unit

```
Er6Tl3C
1.0
6.539 0.000 0.275
0.000 8.101 0.000
0.467 0.000 10.113
Tl Er C
6 12 2
Cartesian
3.270 4.050 0.138
6.360 3.102 7.915
2.858 0.948 2.721
4.148 7.153 7.668
0.645 4.999 2.474
0.233 0.000 5.056
2.636 4.419 7.403
1.334 0.369 7.905
5.617 5.199 5.824
4.370 3.682 2.986
5.672 7.732 2.484
6.264 5.840 9.763
2.761 6.312 4.569
2.114 6.952 0.630
4.245 1.789 5.819
1.389 2.902 4.564
0.742 2.261 0.625
4.892 1.149 9.758
3.503 4.050 5.194
0.000 0.000 0.000
```


Pm2MgGa4Ni3 | GGA-PBE | relaxed

Values from the calculation:
D(E_F)   5.42 states/eV/f.u.
Calculated total energy   -4.572 eV/atom
Energy of formation from the pure elements   -49.93 kJ/mol of atoms
Magnetic moment   0.00 μB per formula unit

```
Pm2MgGa4Ni3
1.0
-2.853 -0.694 -2.890
-2.450 -1.720 2.831
-4.359 9.525 2.017
Pm Ga Ni Mg
2 4 3 1
Cartesian
-2.429 1.845 -0.981
-4.581 6.473 2.968
-4.272 5.872 -0.129
-2.651 -1.207 -0.030
-2.738 2.446 2.115
0.000 0.000 0.000
-5.242 7.991 0.320
-2.180 4.762 1.008
-1.768 0.327 1.667
-4.831 3.555 0.978
```


TaPb4 | GGA-PBE | relaxed

Values from the calculation:
ΔE to the lowest computed polymorph   0.0 kJ/mol of atoms
D(E_F)   3.32 states/eV/f.u.
Calculated total energy   -4.929 eV/atom
Energy of formation from the pure elements   39.39 kJ/mol of atoms
Magnetic moment   0.00 μB per formula unit

```
TaPb4
1.0
-1.287 -1.039 5.639
-3.542 4.204 -2.075
-0.761 -4.920 -3.121
Pb Ta
4 1
Cartesian
-0.381 -2.460 -1.561
-0.643 -0.519 2.819
-2.795 -0.877 0.221
-1.771 2.102 -1.038
0.000 0.000 0.000
```


Na3ZnIn3Br8 | GGA-PBE | relaxed

Values from the calculation:
D(E_F)   0.00 states/eV/f.u.
Calculated total energy   -2.813 eV/atom
Magnetic moment   0.00 μB per formula unit

```
Na3ZnIn3Br8
1.0
8.618 0.000 0.000
-4.309 7.469 -0.026
0.000 -4.953 7.733
In Br Na Zn
3 8 3 1
Cartesian
-2.155 3.734 -0.013
2.155 3.734 -0.013
0.000 0.000 0.000
2.385 3.888 5.367
-2.385 3.888 5.367
0.000 -0.249 5.382
4.309 2.765 2.324
1.924 -1.372 2.339
6.695 -1.372 2.339
0.000 2.493 2.184
4.309 0.023 5.522
-2.155 1.258 3.853
4.309 -2.476 3.866
2.155 1.258 3.853
0.000 -2.476 3.866
```


Li2CoTcAg | GGA-PBE | relaxed

Values from the calculation:
D(E_F)   4.23 states/eV/f.u.
Calculated total energy   -3.666 eV/atom
Energy of formation from the pure elements   112.36 kJ/mol of atoms
Magnetic moment   4.78 μB per formula unit

```
Li2CoTcAg
1.0
-3.979 -0.108 1.609
-0.774 -4.243 -2.200
1.459 -2.066 3.470
Li Co Tc Ag
2 1 1 1
Cartesian
-1.990 -0.054 0.804
0.730 -1.033 1.735
-0.387 -2.122 -1.100
-1.647 -3.208 1.439
0.000 0.000 0.000
```


CaLuZnRh | GGA-PBE | relaxed

Values from the calculation:
D(E_F)   2.60 states/eV/f.u.
Calculated total energy   -4.235 eV/atom
Energy of formation from the pure elements   -43.19 kJ/mol of atoms
Magnetic moment   0.00 μB per formula unit

```
CaLuZnRh
1.0
-3.115 -1.261 -3.564
-4.113 -2.429 1.088
-4.339 2.243 -0.367
Ca Zn Lu Rh
1 1 1 1
Cartesian
0.000 0.000 0.000
-8.675 -1.085 -2.133
-5.783 -0.723 -1.422
-2.892 -0.362 -0.711
```


Tl4Cd5In3 | GGA-PBE | relaxed

Values from the calculation:
D(E_F)   4.49 states/eV/f.u.
Calculated total energy   -1.806 eV/atom
Energy of formation from the pure elements   4.74 kJ/mol of atoms
Magnetic moment   0.00 μB per formula unit

```
Tl4Cd5In3
1.0
-2.833 2.582 4.042
-6.307 -2.321 4.623
5.179 0.917 10.239
In Tl Cd
3 4 5
Cartesian
-1.851 -0.089 4.318
-1.981 0.590 9.452
-2.110 1.268 14.586
3.362 0.570 11.057
-7.323 0.609 7.848
1.108 2.012 8.846
-5.070 -0.833 10.059
-2.046 -1.025 12.274
-0.135 1.477 12.041
-0.564 -0.702 7.431
-1.915 2.204 6.631
-3.827 -0.298 6.863
```


YTcN2F | GGA-PBE | relaxed

Values from the calculation:
ΔE to the lowest computed polymorph   0.0 kJ/mol of atoms
D(E_F)   2.79 states/eV/f.u.
Calculated total energy   -7.885 eV/atom
Magnetic moment   0.00 μB per formula unit

```
YTcN2F
1.0
3.962 0.000 0.000
0.000 3.962 0.000
0.000 0.000 4.027
N Tc F Y
2 1 1 1
Cartesian
0.000 1.981 0.000
1.981 0.000 0.000
0.000 0.000 0.000
0.000 0.000 2.014
1.981 1.981 2.014
```


Ga2AgP | GGA-PBE | relaxed

Values from the calculation:
D(E_F)   0.17 states/eV/f.u.
Calculated total energy   -3.502 eV/atom
Energy of formation from the pure elements   7.36 kJ/mol of atoms
Magnetic moment   0.00 μB per formula unit

```
Ga2AgP
1.0
6.289 0.000 0.000
0.000 6.289 0.000
3.145 3.145 4.528
Ga Ag P
4 2 2
Cartesian
4.717 4.894 3.396
7.862 7.685 3.396
1.749 4.717 1.132
4.540 1.572 1.132
0.000 0.000 0.000
6.289 3.145 2.264
3.145 6.289 2.264
3.145 3.145 0.000
```


InCuTe2 | GGA-PBE | relaxed

Values from the calculation:
D(E_F)   0.03 states/eV/f.u.
Calculated total energy   -3.553 eV/atom
Magnetic moment   0.00 μB per formula unit

```
InCuTe2
1.0
6.290 0.000 0.000
0.000 6.290 0.000
3.145 3.145 6.318
In Cu Te
2 2 4
Cartesian
0.000 0.000 0.000
6.290 3.145 3.159
3.145 3.145 0.000
3.145 6.290 3.159
4.718 4.939 4.739
7.863 7.642 4.739
1.794 4.718 1.580
4.497 1.573 1.580
```


Tb2Dy3ErSe6 | GGA-PBE | relaxed

Values from the calculation:
D(E_F)   5.57 states/eV/f.u.
Calculated total energy   -5.792 eV/atom
Magnetic moment   0.00 μB per formula unit

```
Tb2Dy3ErSe6
1.0
-1.914 -2.190 2.837
6.827 -0.121 4.512
-3.241 8.395 1.386
Se Tb Dy Er
6 2 3 1
Cartesian
-1.789 1.304 2.709
1.640 1.253 4.983
-3.463 6.164 5.333
0.032 4.831 3.752
3.462 4.780 6.026
5.135 -0.080 3.402
0.794 3.675 6.283
0.878 2.409 2.452
2.457 -1.156 3.674
4.272 2.357 4.702
-2.600 3.727 4.033
-0.957 -1.095 1.418
```


Tb6PrDy12 | GGA-PBE | relaxed

Values from the calculation:
ΔE to the lowest computed polymorph   0.0 kJ/mol of atoms
D(E_F)   24.59 states/eV/f.u.
Calculated total energy   -4.604 eV/atom
Energy of formation from the pure elements   1.55 kJ/mol of atoms
Magnetic moment   0.00 μB per formula unit

```
Tb6PrDy12
1.0
-1.987 8.329 -1.598
-7.858 -4.388 2.728
-3.361 3.758 7.939
Dy Tb Pr
12 6 1
Cartesian
-10.535 4.437 4.593
-3.293 -0.541 1.257
-1.994 2.770 1.041
-7.244 4.988 3.334
-4.663 6.028 5.513
-8.542 1.671 3.556
-9.912 8.240 7.812
-11.212 4.928 8.027
-6.555 -1.073 2.509
-2.670 3.261 4.476
-5.961 2.711 5.734
-6.650 8.771 6.559
-5.957 8.287 3.113
-3.966 5.525 2.069
-7.249 -0.588 5.955
-9.240 2.174 6.999
-5.271 2.219 2.287
-7.934 5.480 6.781
0.000 0.000 0.000
```


In2AgCl | GGA-PBE | relaxed

Values from the calculation:
ΔE to the lowest computed polymorph   9.9 kJ/mol of atoms
D(E_F)   1.99 states/eV/f.u.
Calculated total energy   -2.724 eV/atom
Magnetic moment   0.00 μB per formula unit

```
In2AgCl
1.0
8.901 -0.108 -0.064
8.201 3.462 -0.064
8.201 1.608 3.066
In Ag Cl
2 1 1
Cartesian
6.080 1.192 0.706
0.089 0.017 0.010
12.585 2.468 1.461
19.202 3.766 2.230
```


AlIn3 | GGA-PBE | relaxed

Values from the calculation:
D(E_F)   1.16 states/eV/f.u.
Calculated total energy   -2.859 eV/atom
Energy of formation from the pure elements   12.56 kJ/mol of atoms
Magnetic moment   0.00 μB per formula unit

```
AlIn3
1.0
3.214 -5.566 0.000
3.214 5.566 0.000
0.000 0.000 5.534
In Al
6 2
Cartesian
4.797 -0.941 1.383
1.631 0.941 4.150
3.214 -3.683 1.383
1.631 -0.941 1.383
4.797 0.941 4.150
3.214 3.683 4.150
3.214 -1.855 4.150
3.214 1.855 1.383
```


Tb5Ho7 | GGA-PBE | relaxed

Values from the calculation:
ΔE to the lowest computed polymorph   18.6 kJ/mol of atoms
D(E_F)   21.12 states/eV/f.u.
Calculated total energy   -4.404 eV/atom
Energy of formation from the pure elements   18.91 kJ/mol of atoms
Magnetic moment   0.00 μB per formula unit

```
Tb5Ho7
1.0
5.638 0.000 0.000
-2.819 4.771 -0.278
0.000 -2.485 14.364
Ho Tb
7 5
Cartesian
2.819 -1.242 7.182
0.000 -0.022 3.032
2.819 2.307 11.054
0.000 0.700 13.048
2.819 1.715 4.557
0.000 0.570 9.529
2.819 1.586 1.038
2.819 2.009 7.871
0.000 3.177 2.616
2.819 -0.891 11.470
0.000 0.277 6.215
0.000 0.000 0.000
```


LiSi2Tc | GGA-PBE | relaxed

Values from the calculation:
ΔE to the lowest computed polymorph   22.7 kJ/mol of atoms
D(E_F)   2.87 states/eV/f.u.
Calculated total energy   -5.845 eV/atom
Magnetic moment   0.00 μB per formula unit

```
LiSi2Tc
1.0
-0.746 0.612 -3.785
2.434 -2.488 -0.882
-2.549 -2.527 0.093
Li Tc Si
1 1 2
Cartesian
-1.647 -0.957 -1.846
0.844 -0.938 -2.333
0.000 0.000 0.000
-0.058 -2.507 -0.394
```


Sr2AlBr | GGA-PBE | relaxed

Values from the calculation:
ΔE to the lowest computed polymorph   28.7 kJ/mol of atoms
D(E_F)   2.69 states/eV/f.u.
Calculated total energy   -2.697 eV/atom
Magnetic moment   0.00 μB per formula unit

```
Sr2AlBr
1.0
-1.077 6.746 3.119
-5.275 2.086 4.921
5.149 -5.240 -1.555
Br Al Sr
1 1 2
Cartesian
0.448 2.960 2.792
-3.176 4.416 4.020
-1.651 0.630 3.693
0.000 0.000 0.000
```


Pr2Sm3Pt2 | GGA-PBE | relaxed

Values from the calculation:
D(E_F)   8.55 states/eV/f.u.
Calculated total energy   -5.823 eV/atom
Energy of formation from the pure elements   -68.43 kJ/mol of atoms
Magnetic moment   0.00 μB per formula unit

```
Pr2Sm3Pt2
1.0
3.868 0.000 0.000
-1.934 6.296 -0.469
0.000 -3.481 8.611
Pr Sm Pt
2 3 2
Cartesian
0.000 -0.788 6.841
1.934 3.604 1.301
0.000 2.866 4.507
1.934 0.000 0.000
1.934 -0.051 3.636
1.934 1.524 6.239
0.000 1.292 1.903
```


MgGa3Ni | GGA-PBE | relaxed

Values from the calculation:
ΔE to the lowest computed polymorph   1.9 kJ/mol of atoms
D(E_F)   1.69 states/eV/f.u.
Calculated total energy   -3.461 eV/atom
Energy of formation from the pure elements   -16.35 kJ/mol of atoms
Magnetic moment   0.00 μB per formula unit

```
MgGa3Ni
1.0
-1.879 -1.086 -2.533
2.311 -7.358 1.441
-5.144 -0.801 4.160
Mg Ga Ni
2 6 2
Cartesian
-3.097 -3.007 0.292
-1.616 -6.238 2.775
-1.254 -0.659 0.114
-4.456 -5.413 2.332
-3.459 -8.587 2.953
-0.848 -6.516 0.128
-3.865 -2.730 2.939
-0.257 -3.832 0.736
-1.077 -2.692 -1.341
-3.636 -6.553 4.409
```


TbCeP2 | GGA-PBE | relaxed

Values from the calculation:
ΔE to the lowest computed polymorph   4.8 kJ/mol of atoms
D(E_F)   4.20 states/eV/f.u.
Calculated total energy   -6.856 eV/atom
Energy of formation from the pure elements   -145.74 kJ/mol of atoms
Magnetic moment   0.40 μB per formula unit

```
TbCeP2
1.0
-3.076 -0.906 2.466
3.761 -1.146 0.952
1.836 11.409 6.485
P Tb Ce
4 2 2
Cartesian
2.172 3.225 3.896
1.709 0.347 2.260
0.348 6.131 6.007
0.812 9.010 7.643
-0.338 1.866 3.582
2.859 7.491 6.320
0.918 5.705 3.242
0.000 0.000 0.000
```


Number 1: calculated volume 534.7 Å³/cell. Number 2: calculated volume 181.1 Å³/cell. Number 3: calculated volume 156.2 Å³/cell. Number 4: calculated volume 496.6 Å³/cell. Number 5: calculated volume 89.3 Å³/cell. Number 6: calculated volume 83.1 Å³/cell. Number 7: calculated volume 333.1 Å³/cell. Number 8: calculated volume 63.2 Å³/cell. Number 9: calculated volume 179.1 Å³/cell. Number 10: calculated volume 250.0 Å³/cell. Number 11: calculated volume 287.0 Å³/cell. Number 12: calculated volume 603.5 Å³/cell. Number 13: calculated volume 99.1 Å³/cell. Number 14: calculated volume 198.0 Å³/cell. Number 15: calculated volume 382.5 Å³/cell. Number 16: calculated volume 50.3 Å³/cell. Number 17: calculated volume 144.0 Å³/cell. Number 18: calculated volume 203.4 Å³/cell. Number 19: calculated volume 174.4 Å³/cell. Number 20: calculated volume 187.8 Å³/cell.